(1)
First-principles (PBE) data for a geometry-optimized Pm5CuHg4 structure, as listed in Alexandria via LeMat-Bulk.

The structure in CIF format:
```
data_Pm5CuHg4
_cell_length_a 3.7469
_cell_length_b 3.7469
_cell_length_c 19.0713
_cell_angle_alpha 90.00
_cell_angle_beta 90.00
_cell_angle_gamma 90.00
_symmetry_space_group_name_H-M 'P 4/m m m'
_symmetry_Int_Tables_number 123
_symmetry_space_group_name_Hall '-P 4 2'
loop_
_atom_site_label
_atom_site_fract_x
_atom_site_fract_y
_atom_site_fract_z
Pm1 0.0000 0.0000 0.0000
Pm2 0.0000 0.0000 0.2052
Pm3 0.0000 0.0000 0.4119
Cu1 0.5000 0.5000 0.5000
Hg1 0.5000 0.5000 0.1026
Hg2 0.5000 0.5000 0.3077
```

Formation energy   -4.0 eV/f.u.
D(E_F)   10.53 states/eV/cell
E   -33.1 eV per formula unit


(2)
First-principles (PBE) data for a geometry-optimized NiAg2P structure, as listed in Alexandria via LeMat-Bulk.

The structure in CIF format:
```
data_NiAg2P
_cell_length_a 3.8239
_cell_length_b 3.8239
_cell_length_c 8.3620
_cell_angle_alpha 90.00
_cell_angle_beta 90.00
_cell_angle_gamma 90.00
_symmetry_space_group_name_H-M 'I 4/m m m'
_symmetry_Int_Tables_number 139
_symmetry_space_group_name_Hall '-I 4 2'
loop_
_atom_site_label
_atom_site_fract_x
_atom_site_fract_y
_atom_site_fract_z
Ni1 0.0000 0.0000 0.0000
Ag1 0.0000 0.5000 0.2500
P1 0.0000 0.0000 0.5000
```

Formation energy   1.2 eV/f.u.
D(E_F)   4.22 states/eV/cell
E   -15.7 eV per formula unit


(3)
First-principles (PBE) data for a geometry-optimized CaPm12Er5 structure, as listed in Alexandria via LeMat-Bulk.

The structure in CIF format:
```
data_CaPm12Er5
_cell_length_a 11.3348
_cell_length_b 17.9320
_cell_length_c 5.9640
_cell_angle_alpha 90.00
_cell_angle_beta 90.00
_cell_angle_gamma 90.00
_symmetry_space_group_name_H-M 'C m m m'
_symmetry_Int_Tables_number 65
_symmetry_space_group_name_Hall '-C 2 2'
loop_
_atom_site_label
_atom_site_fract_x
_atom_site_fract_y
_atom_site_fract_z
Ca1 0.0000 0.0000 0.0000
Pm1 0.1518 0.5000 0.0000
Pm2 0.1614 0.3351 0.5000
Pm3 0.1646 0.0000 0.5000
Pm4 0.1649 0.1665 0.0000
Er1 0.0000 0.1694 0.5000
Er2 0.0000 0.3297 0.0000
Er3 0.0000 0.5000 0.5000
```

Formation energy   2.1 eV/f.u.
D(E_F)   71.09 states/eV/cell
E   -79.8 eV per formula unit